Entry from Alexandria via LeMat-Bulk: In2Sn after structural relaxation (GGA-PBE).

Properties
Density   6992 kg/m³
Energy relative to the lowest polymorph listed for this composition   3 meV per atom
DOS at the Fermi energy   0.58 states/eV/atom
Energy of formation from the pure elements   0.032 eV per atom
Electronic total energy   -3.13 eV per atom

a b c (Å): 3.3416 3.3416 7.8275
angles (deg): 103.32 103.32 85.44
Element x y z (fractional)
In (0.3348, 0.3348, 0.6696)
In (0.6652, 0.6652, 0.3304)
Sn (0.0000, 0.0000, 0.0000)

Entry from Alexandria via LeMat-Bulk: BaMg3Hg after structural relaxation (GGA-PBE).

Properties
Density   4338 kg/m³
Energy relative to the lowest polymorph listed for this composition   118 meV per atom
DOS at the Fermi energy   0.48 states/eV/atom
Energy of formation from the pure elements   -0.063 eV per atom
Electronic total energy   -1.46 eV per atom

a b c (Å): 5.3975 5.3975 5.3975
angles (deg): 90.00 90.00 90.00
Element x y z (fractional)
Mg (0.0000, 0.5000, 0.0000)
Mg (0.0000, 0.0000, 0.5000)
Mg (0.5000, 0.0000, 0.0000)
Hg (0.0000, 0.0000, 0.0000)
Ba (0.5000, 0.5000, 0.5000)

Entry from Alexandria via LeMat-Bulk: Np2GaGe3Pd4 after structural relaxation (GGA-PBE).

Properties
Density   10495 kg/m³
DOS at the Fermi energy   2.24 states/eV/atom
Energy of formation from the pure elements   -0.436 eV per atom
Electronic total energy   -6.79 eV per atom

a b c (Å): 4.2375 4.2375 10.4615
angles (deg): 90.00 90.00 90.00
Last column: magnetic moment on the atom in μB.
Element x y z (fractional)
Np (0.5000, 0.0000, 0.2504)  3.90
Np (0.0000, 0.5000, 0.7496)  3.90
Ga (0.5000, 0.5000, 0.5000)  0.00
Ge (0.0000, 0.0000, 0.5000)  -0.03
Ge (0.5000, 0.0000, 0.8658)  0.00
Ge (0.0000, 0.5000, 0.1342)  0.00
Pd (0.5000, 0.5000, 0.0000)  0.05
Pd (0.0000, 0.0000, 0.0000)  0.06
Pd (0.5000, 0.0000, 0.6327)  -0.01
Pd (0.0000, 0.5000, 0.3673)  -0.01

Entry from Alexandria via LeMat-Bulk: HfZr2P after structural relaxation (GGA-PBE).

Properties
Density   7589 kg/m³
DOS at the Fermi energy   1.03 states/eV/atom
Energy of formation from the pure elements   -0.290 eV per atom
Electronic total energy   -8.40 eV per atom

a b c (Å): 8.0740 8.0740 6.2862
angles (deg): 50.04 50.04 90.00
Element x y z (fractional)
P (0.5000, 0.5000, 0.0000)
P (0.2500, 0.7500, 0.5000)
Hf (0.0000, 0.0000, 0.0000)
Hf (0.7500, 0.2500, 0.5000)
Zr (0.5598, 0.1250, 0.2500)
Zr (0.1902, 0.6250, 0.2500)
Zr (0.3750, 0.4402, 0.7500)
Zr (0.8750, 0.8098, 0.7500)

Entry from Alexandria via LeMat-Bulk: Al2TcW after structural relaxation (GGA-PBE).

Properties
Density   9392 kg/m³
Energy relative to the lowest polymorph listed for this composition   0 meV per atom
DOS at the Fermi energy   0.36 states/eV/atom
Energy of formation from the pure elements   -0.311 eV per atom
Electronic total energy   -8.01 eV per atom

a b c (Å): 3.1495 3.1495 5.9855
angles (deg): 90.00 90.00 90.00
Element x y z (fractional)
Tc (0.5000, 0.5000, 0.4263)
W (0.0000, 0.0000, 0.1751)
Al (0.0000, 0.0000, 0.6620)
Al (0.5000, 0.5000, 0.9198)

Entry from Alexandria via LeMat-Bulk: SrBe2Pt after structural relaxation (GGA-PBE).

Properties
Density   6816 kg/m³
Energy relative to the lowest polymorph listed for this composition   955 meV per atom
DOS at the Fermi energy   0.42 states/eV/atom
Energy of formation from the pure elements   0.448 eV per atom
Electronic total energy   -3.35 eV per atom

a b c (Å): 4.0888 4.0888 4.3820
angles (deg): 90.00 90.00 90.00
Element x y z (fractional)
Sr (0.0000, 0.5000, 0.5000)
Pt (0.5000, 0.0000, 0.5000)
Be (0.0000, 0.0000, 0.0000)
Be (0.5000, 0.5000, 0.0000)

Entry from Alexandria via LeMat-Bulk: ReOs4Au after structural relaxation (GGA-PBE).

Properties
Density   19926 kg/m³
DOS at the Fermi energy   0.90 states/eV/atom
Energy of formation from the pure elements   0.856 eV per atom
Electronic total energy   -9.25 eV per atom

a b c (Å): 5.1279 5.1279 5.1279
angles (deg): 60.00 60.00 60.00
Element x y z (fractional)
Re (0.2500, 0.2500, 0.2500)
Os (0.6250, 0.6250, 0.1250)
Os (0.6250, 0.1250, 0.6250)
Os (0.6250, 0.6250, 0.6250)
Os (0.1250, 0.6250, 0.6250)
Au (0.0000, 0.0000, 0.0000)

Entry from Alexandria via LeMat-Bulk: Li8Mg6Cd after structural relaxation (GGA-PBE).

Properties
Density   1682 kg/m³
DOS at the Fermi energy   0.37 states/eV/atom
Energy of formation from the pure elements   -0.020 eV per atom
Electronic total energy   -1.74 eV per atom

a b c (Å): 7.0520 7.0520 7.0520
angles (deg): 72.34 72.34 72.34
Element x y z (fractional)
Li (0.7594, 0.7594, 0.7594)
Li (0.2406, 0.2406, 0.2406)
Li (0.6239, 0.9515, 0.1353)
Li (0.9515, 0.1353, 0.6239)
Li (0.1353, 0.6239, 0.9515)
Li (0.3761, 0.0485, 0.8647)
Li (0.0485, 0.8647, 0.3761)
Li (0.8647, 0.3761, 0.0485)
Mg (0.5691, 0.3786, 0.8229)
Mg (0.3786, 0.8229, 0.5691)
Mg (0.8229, 0.5691, 0.3786)
Mg (0.4309, 0.6214, 0.1771)
Mg (0.6214, 0.1771, 0.4309)
Mg (0.1771, 0.4309, 0.6214)
Cd (0.0000, 0.0000, 0.0000)

Entry from Alexandria via LeMat-Bulk: BeZnSCl2 after structural relaxation (GGA-PBE).

Properties
Density   2718 kg/m³
Energy relative to the lowest polymorph listed for this composition   541 meV per atom
DOS at the Fermi energy   0.33 states/eV/atom
ΔE_f (raw)   1.38 eV per formula unit
Electronic total energy   -2.29 eV per atom

a b c (Å): 4.6194 4.6194 5.0794
angles (deg): 90.00 90.00 90.00
Element x y z (fractional)
Be (0.5000, 0.5000, 0.5000)
Zn (0.0000, 0.0000, 0.0000)
S (0.0000, 0.0000, 0.5000)
Cl (0.0000, 0.5000, 0.0000)
Cl (0.5000, 0.0000, 0.0000)

Entry from Alexandria via LeMat-Bulk: SiAsOs2 after structural relaxation (GGA-PBE).

Properties
Density   13401 kg/m³
Energy relative to the lowest polymorph listed for this composition   433 meV per atom
DOS at the Fermi energy   0.59 states/eV/atom
ΔE_f (raw)   1.89 eV per formula unit
Electronic total energy   -7.66 eV per atom

a b c (Å): 2.9146 5.1263 4.0098
angles (deg): 90.00 90.00 90.00
Element x y z (fractional)
As (0.0000, 0.5000, 0.5000)
Os (0.0000, 0.0000, 0.0000)
Os (0.5000, 0.5000, 0.0000)
Si (0.5000, 0.0000, 0.5000)

Entry from Alexandria via LeMat-Bulk: NaAcHo2Hg4 after structural relaxation (GGA-PBE).

Properties
Density   10482 kg/m³
DOS at the Fermi energy   0.81 states/eV/atom
Energy of formation from the pure elements   -0.382 eV per atom
Electronic total energy   -2.36 eV per atom

a b c (Å): 5.2472 5.2472 9.6698
angles (deg): 74.26 74.26 60.00
Element x y z (fractional)
Na (0.5000, 0.5000, 0.5000)
Ac (0.0000, 0.0000, 0.0000)
Ho (0.7591, 0.7591, 0.7227)
Ho (0.2409, 0.2409, 0.2773)
Hg (0.3873, 0.3873, 0.8382)
Hg (0.8731, 0.8731, 0.3808)
Hg (0.1269, 0.1269, 0.6192)
Hg (0.6127, 0.6127, 0.1618)

Entry from Alexandria via LeMat-Bulk: KIr2Pb after structural relaxation (GGA-PBE).

Properties
Density   10834 kg/m³
DOS at the Fermi energy   1.14 states/eV/atom
Energy of formation from the pure elements   0.352 eV per atom
Electronic total energy   -5.28 eV per atom

a b c (Å): 2.9497 3.9286 8.3424
angles (deg): 90.00 90.00 90.00
Element x y z (fractional)
Ir (0.0000, 0.0000, 0.0586)
Ir (0.5000, 0.5000, 0.1628)
K (0.0000, 0.0000, 0.4583)
Pb (0.5000, 0.5000, 0.8203)

| no. | size of the total moment (μB/cell) |
| --- | --- |
| 1 | 0.0 |
| 2 | 0.0 |
| 3 | 8.4 |
| 4 | 0.0 |
| 5 | 0.0 |
| 6 | 0.0 |
| 7 | 0.0 |
| 8 | 0.0 |
| 9 | 0.0 |
| 10 | 0.0 |
| 11 | 0.0 |
| 12 | 0.0 |